VASP calculation (PBEsol) on an optimized crystal structure of Ba2ZnSi.

```
Ba2ZnSi
1.0
4.390 0.000 0.000
0.000 2.438 5.972
0.000 -2.438 5.972
Ba Zn Si
2 1 1
Direct
0.000 0.000 0.000
0.500 0.288 0.288
0.500 0.597 0.597
0.000 0.702 0.702
```

Properties
Crystal system: orthorhombic
DOS at the Fermi energy, states/eV/atom: 0.871
ΔE to the lowest computed polymorph, eV per atom: 0.0000
Raw formation energy, eV/atom: -0.268
Space-group type: No. 38